No. 1
DFT (PBEsol) results for a relaxed structure of Sr2CdPt.

POSCAR file:
```
Sr2CdPt
1.0
3.722 0.000 0.000
0.000 3.722 0.000
0.000 0.000 7.801
Sr Cd Pt
2 1 1
Cartesian
0.000 0.000 2.180
0.000 0.000 5.620
1.861 1.861 0.000
1.861 1.861 3.900
```

Summary:
Its density of states at the Fermi level is 2.19 states/eV per cell. The calculation puts the total moment at 0.00 μB/f.u. Its formation energy is -0.484 eV per atom. The mass density comes out at 7.42 g/cm³. The energy is -3.444 eV/atom.



No. 2
DFT (PBEsol) results for a relaxed structure of Sr2CdPt.

POSCAR file:
```
Sr2CdPt
1.0
-1.731 -3.977 0.906
2.189 -1.773 -3.603
5.385 0.782 2.886
Pt Cd Sr
1 1 2
Cartesian
0.728 -3.008 -0.980
0.850 -2.447 1.720
3.519 -3.159 3.692
3.528 -1.536 -0.003
```

Summary:
Its density of states at the Fermi level is 2.07 states/eV per cell. The calculation puts the total moment at 0.00 μB/f.u. Its formation energy is -0.516 eV per atom. The mass density comes out at 6.88 g/cm³. The energy is -3.476 eV/atom.



No. 3
DFT (PBEsol) results for a relaxed structure of Sr2CdPt.

POSCAR file:
```
Sr2CdPt
1.0
4.228 0.000 0.000
2.114 3.661 0.000
2.114 1.220 8.318
Pt Sr Cd
1 2 1
Cartesian
4.228 2.441 4.159
6.342 3.661 5.834
2.114 1.220 2.485
0.000 0.000 0.000
```

Summary:
Its density of states at the Fermi level is 3.15 states/eV per cell. The calculation puts the total moment at 0.00 μB/f.u. Its formation energy is -0.366 eV per atom. The mass density comes out at 6.23 g/cm³. The energy is -3.326 eV/atom.



No. 4
DFT (PBEsol) results for a relaxed structure of SrCdPt3.

POSCAR file:
```
SrCdPt3
1.0
-0.001 0.114 -4.944
-3.312 -3.672 -0.084
-3.673 3.311 0.077
Cd Sr Pt
1 1 3
Cartesian
0.000 0.000 0.000
-3.493 -0.124 -2.476
0.000 0.057 -2.472
-1.656 -1.836 -0.042
-1.836 1.655 0.038
```

Summary:
Its density of states at the Fermi level is 2.12 states/eV per cell. The calculation puts the total moment at 0.00 μB/f.u. Its formation energy is 0.447 eV per atom. The mass density comes out at 10.78 g/cm³. The energy is -4.338 eV/atom.



No. 5
DFT (PBEsol) results for a relaxed structure of TaCd2Pt.

POSCAR file:
```
TaCd2Pt
1.0
3.360 0.000 0.000
0.000 4.767 0.000
-1.680 -2.384 4.500
Ta Cd Pt
1 2 1
Cartesian
0.000 2.384 2.082
1.680 0.000 2.332
1.680 2.384 4.491
1.680 2.384 0.095
```

Summary:
Its density of states at the Fermi level is 1.96 states/eV per cell. The calculation puts the total moment at 0.00 μB/f.u. Its formation energy is 0.101 eV per atom. The mass density comes out at 13.84 g/cm³. The energy is -5.376 eV/atom.



No. 6
DFT (PBEsol) results for a relaxed structure of TaCdPt2.

POSCAR file:
```
TaCdPt2
1.0
2.858 0.000 0.000
0.000 2.858 0.000
0.000 0.000 8.011
Cd Ta Pt
1 1 2
Cartesian
1.429 1.429 0.000
1.429 1.429 4.005
0.000 0.000 5.895
0.000 0.000 2.115
```

Summary:
Its density of states at the Fermi level is 1.49 states/eV per cell. The calculation puts the total moment at 0.00 μB/f.u. Its formation energy is -0.563 eV per atom. The mass density comes out at 17.35 g/cm³. The energy is -7.482 eV/atom.



No. 7
DFT (PBEsol) results for a relaxed structure of Ta4CdPt.

POSCAR file:
```
Ta4CdPt
1.0
-0.548 1.448 -5.121
-4.206 -1.712 -2.828
-3.851 3.435 -1.411
Pt Cd Ta
1 1 4
Cartesian
0.000 0.000 0.000
-6.454 2.378 -7.019
-5.323 0.342 -4.922
-3.235 1.192 -3.518
-5.147 2.897 -4.219
-3.507 1.910 -6.060
```

Summary:
Its density of states at the Fermi level is 3.16 states/eV per cell. The calculation puts the total moment at 0.00 μB/f.u. Its formation energy is 0.302 eV per atom. The mass density comes out at 15.82 g/cm³. The energy is -9.425 eV/atom.



No. 8
DFT (PBEsol) results for a relaxed structure of TaCdPt2.

POSCAR file:
```
TaCdPt2
1.0
-3.334 -1.091 -1.839
1.423 -3.798 -0.326
-1.673 -0.935 3.589
Pt Cd Ta
2 1 1
Cartesian
0.711 -1.899 -0.163
-0.837 -0.468 1.795
-1.667 -0.545 -0.919
-1.793 -2.912 0.712
```

Summary:
Its density of states at the Fermi level is 3.70 states/eV per cell. The calculation puts the total moment at 0.00 μB/f.u. Its formation energy is -0.140 eV per atom. The mass density comes out at 17.31 g/cm³. The energy is -7.058 eV/atom.



No. 9
DFT (PBEsol) results for a relaxed structure of TaCd2Pt.

POSCAR file:
```
TaCd2Pt
1.0
-1.841 1.803 -1.390
-2.751 -0.846 -0.537
-4.279 3.956 7.715
Cd Ta Pt
2 1 1
Cartesian
-2.252 1.274 1.551
-6.619 3.639 4.236
0.000 0.000 0.000
-4.436 2.457 2.894
```

Summary:
Its density of states at the Fermi level is 3.65 states/eV per cell. The calculation puts the total moment at 0.00 μB/f.u. Its formation energy is 0.103 eV per atom. The mass density comes out at 14.12 g/cm³. The energy is -5.374 eV/atom.



No. 10
DFT (PBEsol) results for a relaxed structure of TaCdPt2.

POSCAR file:
```
TaCdPt2
1.0
4.317 0.000 0.000
-2.159 4.142 -0.077
0.000 2.318 3.642
Pt Ta Cd
2 1 1
Cartesian
2.159 3.809 2.693
0.000 2.650 0.872
0.000 0.000 0.000
2.159 1.159 1.821
```

Summary:
Its density of states at the Fermi level is 3.72 states/eV per cell. The calculation puts the total moment at 0.00 μB/f.u. Its formation energy is -0.352 eV per atom. The mass density comes out at 17.22 g/cm³. The energy is -7.271 eV/atom.



No. 11
DFT (PBEsol) results for a relaxed structure of TaCd2Pt.

POSCAR file:
```
TaCd2Pt
1.0
2.911 0.000 0.000
1.456 2.521 0.000
1.456 0.840 9.761
Pt Cd Ta
1 2 1
Cartesian
2.911 1.681 4.764
4.367 2.521 0.078
4.367 2.521 7.173
1.456 0.840 2.627
```

Summary:
Its density of states at the Fermi level is 1.82 states/eV per cell. The calculation puts the total moment at 0.00 μB/f.u. Its formation energy is -0.091 eV per atom. The mass density comes out at 13.93 g/cm³. The energy is -5.568 eV/atom.



No. 12
DFT (PBEsol) results for a relaxed structure of TaCdPt2.

POSCAR file:
```
TaCdPt2
1.0
2.829 0.000 0.000
0.000 4.888 0.002
-1.415 -0.783 4.739
Cd Pt Ta
1 2 1
Cartesian
1.415 0.682 2.328
0.000 3.110 2.385
1.415 -0.649 4.693
1.415 2.623 0.075
```

Summary:
Its density of states at the Fermi level is 1.69 states/eV per cell. The calculation puts the total moment at 0.00 μB/f.u. Its formation energy is -0.389 eV per atom. The mass density comes out at 17.32 g/cm³. The energy is -7.308 eV/atom.



No. 13
DFT (PBEsol) results for a relaxed structure of TbCdPt2.

POSCAR file:
```
TbCdPt2
1.0
4.727 0.000 0.000
2.364 4.094 0.000
2.364 1.365 3.860
Pt Cd Tb
2 1 1
Cartesian
7.091 4.094 2.895
2.364 1.365 0.965
0.000 0.000 0.000
4.727 2.729 1.930
```

Summary:
Its density of states at the Fermi level is 1.64 states/eV per cell. The calculation puts the total moment at 0.00 μB/f.u. Its formation energy is -0.787 eV per atom. The mass density comes out at 14.70 g/cm³. The energy is -5.820 eV/atom.



No. 14
DFT (PBEsol) results for a relaxed structure of CdTcPt2.

POSCAR file:
```
CdTcPt2
1.0
3.211 0.000 0.000
0.000 3.211 0.000
0.000 0.000 6.151
Cd Tc Pt
1 1 2
Cartesian
1.606 1.606 4.643
0.000 0.000 2.882
1.606 1.606 1.615
0.000 0.000 0.087
```

Summary:
Its density of states at the Fermi level is 3.24 states/eV per cell. The calculation puts the total moment at 0.00 μB/f.u. Its formation energy is 0.131 eV per atom. The mass density comes out at 15.72 g/cm³. The energy is -6.467 eV/atom.



No. 15
DFT (PBEsol) results for a relaxed structure of CdTcPt2.

POSCAR file:
```
CdTcPt2
1.0
-0.996 -1.011 2.371
2.202 -1.655 0.219
3.920 5.763 4.103
Pt Tc Cd
2 1 1
Cartesian
0.901 1.324 0.943
3.020 4.439 3.161
0.603 -1.333 1.295
2.564 1.548 3.347
```

Summary:
Its density of states at the Fermi level is 2.81 states/eV per cell. The calculation puts the total moment at 0.00 μB/f.u. Its formation energy is -0.223 eV per atom. The mass density comes out at 16.15 g/cm³. The energy is -6.821 eV/atom.



No. 16
DFT (PBEsol) results for a relaxed structure of Cd2TcPt.

POSCAR file:
```
Cd2TcPt
1.0
4.213 0.000 0.000
0.000 4.213 0.000
-2.106 -2.106 3.797
Tc Pt Cd
1 1 2
Cartesian
0.000 0.000 0.000
2.106 2.106 0.000
2.106 0.000 1.898
0.000 2.106 1.898
```

Summary:
Its density of states at the Fermi level is 3.94 states/eV per cell. The calculation puts the total moment at 2.31 μB/f.u. Its formation energy is 0.310 eV per atom. The mass density comes out at 12.76 g/cm³. The energy is -4.846 eV/atom.



No. 17
DFT (PBEsol) results for a relaxed structure of Cd2TePt.

POSCAR file:
```
Cd2TePt
1.0
-1.837 -2.568 0.391
2.597 -1.818 0.264
0.027 1.213 8.099
Te Cd Pt
1 2 1
Cartesian
0.400 -1.335 6.052
0.001 0.030 0.202
0.388 -1.858 2.562
0.013 0.597 3.987
```

Summary:
Its density of states at the Fermi level is 2.12 states/eV per cell. The calculation puts the total moment at 0.00 μB/f.u. The mass density comes out at 10.97 g/cm³. The energy is -3.186 eV/atom. The value obtained for the energy relative to the elements, uncorrected is 0.03 eV per atom.



No. 18
DFT (PBEsol) results for a relaxed structure of CdTe2Pt.

POSCAR file:
```
CdTe2Pt
1.0
-2.382 -0.571 4.346
-0.999 -4.577 1.714
2.447 -1.765 3.973
Pt Cd Te
1 1 2
Cartesian
-0.234 -1.728 2.508
-0.467 -3.457 5.016
-0.701 -5.185 7.524
0.000 0.000 0.000
```

Summary:
Its density of states at the Fermi level is 3.05 states/eV per cell. The calculation puts the total moment at 0.00 μB/f.u. The mass density comes out at 10.64 g/cm³. The energy is -3.477 eV/atom. The value obtained for the energy relative to the elements, uncorrected is 0.33 eV per atom.



No. 19
DFT (PBEsol) results for a relaxed structure of CdTe2Pt.

POSCAR file:
```
CdTe2Pt
1.0
-1.719 -0.284 -3.578
-2.411 -2.954 1.393
-3.836 3.855 1.537
Pt Te Cd
1 2 1
Cartesian
-3.124 0.450 1.465
0.000 0.000 0.000
-2.778 1.785 -1.021
-2.065 -1.619 -1.093
```

Summary:
Its density of states at the Fermi level is 2.28 states/eV per cell. The calculation puts the total moment at 0.00 μB/f.u. The mass density comes out at 10.23 g/cm³. The energy is -3.590 eV/atom. The value obtained for the energy relative to the elements, uncorrected is 0.21 eV per atom.



No. 20
DFT (PBEsol) results for a relaxed structure of CdTe2Pt.

POSCAR file:
```
CdTe2Pt
1.0
-2.803 -1.667 2.305
-0.278 -3.976 0.245
4.415 -1.852 7.489
Cd Pt Te
1 1 2
Cartesian
0.000 0.000 0.000
0.667 -3.748 5.020
-1.231 -5.634 4.807
2.565 -1.862 5.232
```

Summary:
Its density of states at the Fermi level is 1.58 states/eV per cell. The calculation puts the total moment at 0.00 μB/f.u. The mass density comes out at 7.88 g/cm³. The energy is -3.895 eV/atom. The value obtained for the energy relative to the elements, uncorrected is -0.09 eV per atom.